P) # Sm3AgAu

A relaxed structure of Sm3AgAu (PBE, the Alexandria database).

SG = No. 15
DOS(E_F) = 24.36 states/eV per cell

a b c (Å): 7.257 9.344 9.344
angles (deg): 68.93 98.80 98.80
Element x y z (fractional)
Sm 0.532 0.037 0.293
Au 0.750 0.353 0.647
Sm 0.468 0.963 0.707
Sm 0.016 0.114 0.734
Ag 0.657 0.431 0.098
Ag 0.843 0.902 0.569
Sm 0.062 0.606 0.637
Sm 0.032 0.293 0.037
Sm 0.984 0.886 0.266
Sm 0.562 0.637 0.606
Sm 0.516 0.734 0.114
Sm 0.968 0.707 0.963
Au 0.250 0.647 0.353
Au 0.250 0.975 0.025
Sm 0.938 0.394 0.363
Ag 0.343 0.569 0.902
Sm 0.438 0.363 0.394
Ag 0.157 0.098 0.431
Au 0.750 0.025 0.975
Sm 0.484 0.266 0.886

***

Q) # Sm3AgAu

A relaxed structure of Sm3AgAu (PBE, the Alexandria database).

SG = No. 63
DOS(E_F) = 7.87 states/eV per cell

a b c (Å): 5.194 5.200 10.357
angles (deg): 90.00 75.48 90.00
Element x y z (fractional)
Sm 0.390 0.250 0.868
Sm 0.575 0.250 0.499
Ag 0.981 0.250 0.686
Ag 0.667 0.750 0.314
Au 0.485 0.750 0.679
Sm 0.760 0.250 0.129
Sm 0.074 0.750 0.501
Au 0.164 0.250 0.321
Sm 0.258 0.750 0.132
Sm 0.888 0.750 0.871

***

Which structure is most stable, and how do the rest compare? From most to least stable: Q), P).

***

P) # Sm2Ag2Au

A relaxed structure of Sm2Ag2Au (PBE, the Alexandria database).

SG = No. 12
DOS(E_F) = 5.87 states/eV per cell

a b c (Å): 4.051 5.717 11.601
angles (deg): 92.68 79.94 69.25
Element x y z (fractional)
Ag 0.645 0.814 0.895
Sm 0.072 0.746 0.110
Sm 0.336 0.664 0.664
Ag 0.888 0.762 0.461
Ag 0.112 0.238 0.539
Ag 0.355 0.186 0.105
Sm 0.928 0.254 0.890
Au 0.396 0.902 0.306
Sm 0.664 0.336 0.336
Au 0.604 0.098 0.694

***

Q) # Sm2Ag2Au

A relaxed structure of Sm2Ag2Au (PBE, the Alexandria database).

SG = No. 2
DOS(E_F) = 6.79 states/eV per cell

a b c (Å): 5.225 10.398 13.818
angles (deg): 19.14 79.37 75.71
Element x y z (fractional)
Ag 0.459 0.909 0.670
Au 0.753 0.249 0.750
Sm 0.643 0.171 0.040
Sm 0.145 0.671 0.540
Au 0.247 0.751 0.250
Sm 0.357 0.829 0.960
Ag 0.541 0.091 0.330
Sm 0.855 0.329 0.460
Ag 0.963 0.409 0.170
Ag 0.037 0.591 0.830

***

Which structure is most stable, and how do the rest compare? From most to least stable: Q), P).

***

P) # SmThAgAu

A relaxed structure of SmThAgAu (PBE, the Alexandria database).

SG = No. 216
DOS(E_F) = 4.42 states/eV per cell

a b c (Å): 5.249 5.249 5.249
angles (deg): 60.00 60.00 60.00
Element x y z (fractional)
Sm 0.500 0.500 0.500
Au 0.750 0.750 0.750
Ag 0.250 0.250 0.250
Th 0.000 0.000 0.000

***

Q) # SmThAgAu

A relaxed structure of SmThAgAu (PBE, the Alexandria database).

SG = No. 99
DOS(E_F) = 3.45 states/eV per cell

a b c (Å): 3.644 3.644 7.682
angles (deg): 90.00 90.00 90.00
Element x y z (fractional)
Ag 0.000 0.000 0.847
Th 0.500 0.500 0.113
Sm 0.500 0.500 0.602
Au 0.000 0.000 0.367

***

Which structure is most stable, and how do the rest compare? From most to least stable: Q), P).

***

P) # SmTmAgAu

A relaxed structure of SmTmAgAu (PBE, the Alexandria database).

SG = No. 99
DOS(E_F) = 1.99 states/eV per cell

a b c (Å): 3.591 3.591 7.399
angles (deg): 90.00 90.00 90.00
Element x y z (fractional)
Sm 0.500 0.500 0.602
Ag 0.000 0.000 0.877
Au 0.000 0.000 0.336
Tm 0.500 0.500 0.113

***

Q) # SmTmAgAu

A relaxed structure of SmTmAgAu (PBE, the Alexandria database).

SG = No. 216
DOS(E_F) = 3.05 states/eV per cell

a b c (Å): 5.134 5.134 5.134
angles (deg): 60.00 60.00 60.00
Element x y z (fractional)
Ag 0.250 0.250 0.250
Au 0.750 0.750 0.750
Tm 0.000 0.000 0.000
Sm 0.500 0.500 0.500

***

Which structure is most stable, and how do the rest compare? From most to least stable: P), Q).